1.
Material: Zn2PtAu
Method: DFT, PBE
State: relaxed

Properties
ρ: 13.8 Mg/m³
electronic total energy: -0.2334 Ry/atom
space-group type: No. 216
energy of formation from the pure elements: -0.208 eV/atom
spin magnetization: 0.0 μB/cell

Unit cell a=4.465 b=4.465 c=4.465 alpha=60.00 beta=60.00 gamma=60.00
Positions (direct):
Zn 0.000 0.000 0.000
Zn 0.250 0.250 0.250
Au 0.500 0.500 0.500
Pt 0.750 0.750 0.750

2.
Material: Co2HgRu
Method: DFT, PBE
State: relaxed

Properties
ρ: 12.2 Mg/m³
electronic total energy: -0.4026 Ry/atom
space-group type: No. 139
energy of formation from the pure elements: 0.469 eV/atom
spin magnetization: 4.6 μB/cell

Unit cell a=4.541 b=4.541 c=4.541 alpha=127.72 beta=127.69 gamma=77.10
Each line ends with the local moment (μB).
Positions (direct):
Ru 0.250 0.750 0.500  1.34
Hg 0.750 0.250 0.500  -0.02
Co 0.500 0.500 0.000  1.68
Co 0.000 0.000 0.000  1.68

3.
Material: ZrSn2Au
Method: DFT, PBE
State: relaxed

Properties
ρ: 10.1 Mg/m³
electronic total energy: -0.3888 Ry/atom
space-group type: No. 123
energy of formation from the pure elements: -0.332 eV/atom
spin magnetization: 0.0 μB/cell

Unit cell a=4.112 b=4.588 c=4.588 alpha=90.00 beta=90.00 gamma=90.00
Positions (direct):
Sn 0.000 0.500 0.000
Zr 0.500 0.500 0.500
Au 0.500 0.000 0.000
Sn 0.000 0.000 0.500

4.
Material: Li5Pb
Method: DFT, PBE
State: relaxed

Properties
ρ: 3.3 Mg/m³
electronic total energy: -0.1721 Ry/atom
space-group type: No. 123
energy of formation from the pure elements: -0.129 eV/atom
spin magnetization: 0.0 μB/cell

Unit cell a=3.561 b=3.561 c=9.715 alpha=90.00 beta=90.00 gamma=90.00
Positions (direct):
Li 0.000 0.000 0.836
Li 0.000 0.000 0.164
Pb 0.500 0.500 0.000
Li 0.500 0.500 0.325
Li 0.500 0.500 0.675
Li 0.000 0.000 0.500